# 1
VASP calculation (PBE) on LiNd2Tl8 after structural relaxation.

Structure (extended XYZ):
```
11
Lattice="4.870 0.000 0.000 0.000 4.870 0.000 0.000 0.000 12.725" Properties=species:S:1:pos:R:3 pbc="T T T"
Li 0.000 0.000 0.000
Nd 0.000 0.000 3.966
Nd 0.000 0.000 8.759
Tl 0.000 2.435 1.613
Tl 0.000 2.435 6.362
Tl 0.000 2.435 11.112
Tl 2.435 0.000 1.613
Tl 2.435 0.000 6.362
Tl 2.435 0.000 11.112
Tl 2.435 2.435 3.966
Tl 2.435 2.435 8.759
```

Computed properties:
size of the total moment	0.0	μB/cell
formation enthalpy at 0 K	-0.245	eV per atom


# 2
VASP calculation (PBE) on LiNd2Tl after structural relaxation.

Structure (extended XYZ):
```
4
Lattice="4.993 0.000 0.000 0.000 4.993 0.000 0.000 0.000 4.511" Properties=species:S:1:pos:R:3 pbc="T T T"
Li 0.000 0.000 0.000
Nd 0.000 2.497 2.255
Nd 2.497 0.000 2.255
Tl 2.497 2.497 0.000
```

Computed properties:
size of the total moment	0.0	μB/cell
formation enthalpy at 0 K	-0.200	eV per atom


# 3
VASP calculation (PBE) on LiNdTl2 after structural relaxation.

Structure (extended XYZ):
```
4
Lattice="0.000 3.739 3.739 3.739 0.000 3.739 3.739 3.739 0.000" Properties=species:S:1:pos:R:3 pbc="T T T"
Li 0.000 0.000 0.000
Nd 3.739 3.739 3.739
Tl 1.870 1.870 1.870
Tl 5.609 5.609 5.609
```

Computed properties:
size of the total moment	0.0	μB/cell
formation enthalpy at 0 K	-0.335	eV per atom


# 4
VASP calculation (PBE) on Li4Nd9Tl11 after structural relaxation.

Structure (extended XYZ):
```
24
Lattice="7.920 -11.536 0.000 7.920 11.536 0.000 0.000 0.000 3.558" Properties=species:S:1:pos:R:3 pbc="T T T"
Li 2.273 2.313 0.000
Li 2.273 -2.313 0.000
Li 13.567 2.313 0.000
Li 13.567 -2.313 0.000
Nd 0.000 0.000 0.000
Nd 6.137 5.820 0.000
Nd 5.669 1.746 0.000
Nd 9.703 5.820 0.000
Nd 5.669 -1.746 0.000
Nd 10.170 1.746 0.000
Nd 6.137 -5.820 0.000
Nd 10.170 -1.746 0.000
Nd 9.703 -5.820 0.000
Tl 3.939 3.951 1.779
Tl 7.920 8.338 1.779
Tl 3.131 0.000 1.779
Tl 7.920 3.566 1.779
Tl 3.939 -3.951 1.779
Tl 7.920 0.000 1.779
Tl 11.901 3.951 1.779
Tl 7.920 -3.566 1.779
Tl 12.709 0.000 1.779
Tl 7.920 -8.338 1.779
Tl 11.901 -3.951 1.779
```

Computed properties:
size of the total moment	0.6	μB/cell
formation enthalpy at 0 K	-0.305	eV per atom


# 5
VASP calculation (PBE) on LiNd2Tl4 after structural relaxation.

Structure (extended XYZ):
```
7
Lattice="5.250 0.000 0.000 0.000 5.250 0.000 0.000 0.000 7.516" Properties=species:S:1:pos:R:3 pbc="T T T"
Li 0.000 0.000 0.000
Nd 0.000 0.000 3.758
Nd 2.625 2.625 0.000
Tl 0.000 2.625 1.882
Tl 0.000 2.625 5.634
Tl 2.625 0.000 1.882
Tl 2.625 0.000 5.634
```

Computed properties:
size of the total moment	0.0	μB/cell
formation enthalpy at 0 K	-0.210	eV per atom


# 6
VASP calculation (PBE) on Li4Nd2Tl3 after structural relaxation.

Structure (extended XYZ):
```
18
Lattice="3.408 -8.332 0.000 3.408 8.332 0.000 0.000 0.000 7.372" Properties=species:S:1:pos:R:3 pbc="T T T"
Li 3.408 5.575 7.365
Li 1.704 0.884 5.529
Li 1.704 -0.884 1.843
Li 3.408 2.757 3.679
Li 3.408 -2.757 3.693
Li 5.111 0.884 5.529
Li 5.111 -0.884 1.843
Li 3.408 -5.575 0.007
Nd 3.408 6.414 4.226
Nd 3.408 1.918 0.540
Nd 3.408 -1.918 6.833
Nd 3.408 -6.414 3.146
Tl 0.000 0.000 0.000
Tl 1.704 3.924 5.529
Tl 1.704 -3.924 1.843
Tl 3.408 0.000 3.686
Tl 5.111 3.924 5.529
Tl 5.111 -3.924 1.843
```

Computed properties:
size of the total moment	0.0	μB/cell
formation enthalpy at 0 K	-0.204	eV per atom